A plane-wave DFT calculation with GGA-PBE was carried out for an optimized crystal structure of Li2CoH6Au.

- Crystal system: cubic
- Energy: -142.261 eV for the cell shown

Unit cell a=6.8058 b=6.8058 c=6.8058 alpha=90.00 beta=90.00 gamma=90.00
Space group Fm-3m (No. 225)
One atom of each set of equivalent atoms:
Li1 0.2500 0.2500 0.2500 [8 per cell]
Co1 0.0000 0.0000 0.0000 [4 per cell]
H1 0.0000 0.0000 0.2298 [24 per cell]
Au1 0.0000 0.0000 0.5000 [4 per cell]